Below is a relaxed structure of Fe2ReTe, with properties calculated at the PBE level.

Cell: 5.447 5.447 10.933 Å, 90.00 90.00 90.00°
Fractional coordinates of all 16 atoms:
Fe 0.220 0.250 0.125
Fe 0.250 0.720 0.375
Fe 0.250 0.780 0.875
Fe 0.280 0.250 0.625
Fe 0.720 0.750 0.625
Fe 0.750 0.220 0.875
Fe 0.750 0.280 0.375
Fe 0.780 0.750 0.125
Re 0.000 0.000 0.000
Re 0.000 0.500 0.250
Re 0.500 0.000 0.750
Re 0.500 0.500 0.500
Te 0.000 0.000 0.500
Te 0.000 0.500 0.750
Te 0.500 0.000 0.250
Te 0.500 0.500 0.000

As for the uncorrected formation energy: 0.946 eV/atom. Its crystal system is tetragonal. The volume comes out at 20.3 Å³/atom.

---

Below is a relaxed structure of Cs2TaPb, with properties calculated at the PBE level.

Cell: 14.383 14.383 5.543 Å, 90.00 90.00 90.00°
Fractional coordinates of all 16 atoms:
Cs 0.004 0.750 0.125
Cs 0.250 0.004 0.875
Cs 0.250 0.496 0.375
Cs 0.496 0.750 0.625
Cs 0.504 0.250 0.625
Cs 0.750 0.504 0.375
Cs 0.750 0.996 0.875
Cs 0.996 0.250 0.125
Ta 0.000 0.000 0.000
Ta 0.000 0.500 0.250
Ta 0.500 0.000 0.750
Ta 0.500 0.500 0.500
Pb 0.000 0.000 0.500
Pb 0.000 0.500 0.750
Pb 0.500 0.000 0.250
Pb 0.500 0.500 0.000

For the energy relative to the elements, the calculation gives 1030.2 meV/atom. For the energy above the most stable polymorph in this dataset, the calculation gives 0 meV/atom. Its crystal system is tetragonal. The volume comes out at 71.7 Å³/atom.

---

Below is a relaxed structure of Sr2YCr, with properties calculated at the PBE level.

Cell: 8.295 8.295 8.295 Å, 90.00 90.00 90.00°
Fractional coordinates of all 16 atoms:
Sr 0.250 0.250 0.250
Sr 0.250 0.250 0.750
Sr 0.250 0.750 0.250
Sr 0.250 0.750 0.750
Sr 0.750 0.250 0.250
Sr 0.750 0.250 0.750
Sr 0.750 0.750 0.250
Sr 0.750 0.750 0.750
Y 0.000 0.000 0.000
Y 0.000 0.500 0.500
Y 0.500 0.000 0.500
Y 0.500 0.500 0.000
Cr 0.000 0.000 0.500
Cr 0.000 0.500 0.000
Cr 0.500 0.000 0.000
Cr 0.500 0.500 0.500

For the energy relative to the elements, the calculation gives 613.0 meV/atom. For the energy above the most stable polymorph in this dataset, the calculation gives 267 meV/atom. Its crystal system is cubic. The volume comes out at 35.7 Å³/atom.

---

Below is a relaxed structure of NdSm2Dy6Er, with properties calculated at the PBE level.

Cell: 8.789 8.789 9.650 Å, 94.20 94.20 117.94°
Fractional coordinates of all 20 atoms:
Nd 0.021 0.979 0.750
Nd 0.979 0.021 0.250
Sm 0.197 0.300 0.544
Sm 0.300 0.197 0.044
Sm 0.700 0.803 0.956
Sm 0.803 0.700 0.456
Dy 0.019 0.570 0.685
Dy 0.124 0.745 0.057
Dy 0.255 0.876 0.443
Dy 0.294 0.507 0.881
Dy 0.430 0.981 0.815
Dy 0.493 0.706 0.619
Dy 0.507 0.294 0.381
Dy 0.570 0.019 0.185
Dy 0.706 0.493 0.119
Dy 0.745 0.124 0.557
Dy 0.876 0.255 0.943
Dy 0.981 0.430 0.315
Er 0.408 0.592 0.250
Er 0.592 0.408 0.750

For the energy relative to the elements, the calculation gives 116.9 meV/atom. Its crystal system is monoclinic. The volume comes out at 32.6 Å³/atom.

---

Below is a relaxed structure of AcTb2SmY2, with properties calculated at the PBE level.

Cell: 7.095 10.023 5.760 Å, 90.00 90.00 90.00°
Fractional coordinates of all 12 atoms:
Ac 0.000 0.000 0.000
Ac 0.500 0.500 0.500
Tb 0.247 0.334 0.000
Tb 0.253 0.834 0.500
Tb 0.747 0.166 0.500
Tb 0.753 0.666 0.000
Sm 0.000 0.500 0.500
Sm 0.500 0.000 0.000
Y 0.249 0.667 0.000
Y 0.251 0.167 0.500
Y 0.749 0.833 0.500
Y 0.751 0.333 0.000

For the energy relative to the elements, the calculation gives 72.2 meV/atom. Its crystal system is orthorhombic. The volume comes out at 34.1 Å³/atom.

---

Going through the records in order, we get energy values of -7.18, -3.29, -4.25, -4.52, -5.10 eV per atom.